Material: LiHPtSe
Method: DFT, GGA-PBE
State: optimized geometry

Cell and atoms, written as POSCAR:
```
LiHPtSe
1.0
4.067 0.002 0.000
1.374 3.855 -0.001
0.054 1.828 4.162
Li H Pt Se
1 1 1 1
Direct
0.888 0.244 0.979
0.840 0.936 0.413
0.598 0.721 0.376
0.228 0.294 0.461
```

Computed properties:
- size of the total moment (μB per atom) = 0.000
- energy relative to the lowest polymorph listed for this composition (meV/atom) = 30.7
- calculated total energy (eV/atom) = -4.09

Material: Rb3In4Au2
Method: DFT, GGA-PBE
State: optimized geometry

Cell and atoms, written as POSCAR:
```
Rb3In4Au2
1.0
-3.431 -3.227 0.545
2.629 -5.592 4.065
-1.147 -0.239 11.983
Rb In Au
3 4 2
Direct
0.328 0.688 0.656
0.000 0.000 0.000
0.672 0.312 0.344
0.277 0.377 0.069
0.723 0.623 0.931
0.051 0.277 0.620
0.949 0.723 0.380
0.388 0.948 0.275
0.612 0.052 0.725
```

Computed properties:
- size of the total moment (μB per atom) = 0.000
- energy relative to the lowest polymorph listed for this composition (meV/atom) = 44.1
- formation energy (eV per atom) = -0.14
- calculated total energy (eV/atom) = -2.41

no.,mass density (g/cm3)
1,7.178
2,5.428